Here is a relaxed structure of LaDyErCd from Alexandria. Energies are from GGA-PBE.

Cell lengths 3.6715, 3.6715, 8.9041 Å; angles 90.00, 90.00, 90.00 degrees
Last column: nearest neighbours and their distance in Å.
Element x y z (fractional)
La 0.0000 0.0000 0.0000  4 Er 3.61, 4 Dy 3.63, 4 La 3.67
Dy 0.5000 0.5000 0.7157  4 Cd 3.25, 4 La 3.63
Er 0.5000 0.5000 0.2820  4 Cd 3.22
Cd 0.0000 0.0000 0.4959  4 Er 3.22, 4 Dy 3.25

Summary:
The energy above the most stable polymorph in this dataset comes out at 0.0 kJ per mole of atoms. The energy of formation from the pure elements comes out at -0.135 eV per atom. As for the total energy: -15.547 eV per cell. The value obtained for the density of states at the Fermi level is 1.60 states/eV per atom.

***

Here is a relaxed structure of La2DyEr2Cd5 from Alexandria. Energies are from GGA-PBE.

Cell lengths 10.7211, 10.7211, 4.7660 Å; angles 90.00, 90.00, 90.00 degrees
Last column: nearest neighbours and their distance in Å.
Element x y z (fractional)
La 0.1756 0.3244 0.0000  3 Er 3.06-3.25
La 0.3244 0.8244 0.0000  3 Er 3.06-3.25
La 0.6756 0.1756 0.0000  3 Er 3.06-3.25
La 0.8244 0.6756 0.0000  3 Er 3.06-3.25
Dy 0.0000 0.0000 0.0000  8 Cd 3.25
Dy 0.5000 0.5000 0.0000  8 Cd 3.25
Er 0.1227 0.6227 0.0000  6 Cd 3.02-3.14, 3 La 3.06-3.25
Er 0.3773 0.1227 0.0000  6 Cd 3.02-3.14, 3 La 3.06-3.25
Er 0.6227 0.8773 0.0000  6 Cd 3.02-3.14, 3 La 3.06-3.25
Er 0.8773 0.3773 0.0000  6 Cd 3.02-3.14, 3 La 3.06-3.25
Cd 0.0000 0.5000 0.5000  4 Er 3.02, 4 Cd 3.34
Cd 0.0671 0.8045 0.5000  3 Cd 3.13-3.34, 2 Er 3.14, 2 Dy 3.25
Cd 0.1955 0.0671 0.5000  3 Cd 3.13-3.34, 2 Er 3.14, 2 Dy 3.25
Cd 0.3045 0.5671 0.5000  3 Cd 3.13-3.34, 2 Er 3.14, 2 Dy 3.25
Cd 0.4329 0.3045 0.5000  3 Cd 3.13-3.34, 2 Er 3.14, 2 Dy 3.25
Cd 0.5000 0.0000 0.5000  4 Er 3.02, 4 Cd 3.34
Cd 0.5671 0.6955 0.5000  3 Cd 3.13-3.34, 2 Er 3.14, 2 Dy 3.25
Cd 0.6955 0.4329 0.5000  3 Cd 3.13-3.34, 2 Er 3.14, 2 Dy 3.25
Cd 0.8045 0.9329 0.5000  3 Cd 3.13-3.34, 2 Er 3.14, 2 Dy 3.25
Cd 0.9329 0.1955 0.5000  3 Cd 3.13-3.34, 2 Er 3.14, 2 Dy 3.25

Summary:
The energy of formation from the pure elements comes out at -0.210 eV per atom. As for the total energy: -60.523 eV per cell. The value obtained for the density of states at the Fermi level is 0.70 states/eV per atom.

***

Here is a relaxed structure of LiDy2ErCd4 from Alexandria. Energies are from GGA-PBE.

Cell lengths 8.9781, 8.9781, 8.9781 Å; angles 33.58, 33.58, 33.58 degrees
Last column: nearest neighbours and their distance in Å.
Element x y z (fractional)
Li 0.0000 0.0000 0.0000  8 Cd 3.08-3.16
Dy 0.2509 0.2509 0.2509  8 Cd 3.11-3.29
Dy 0.7491 0.7491 0.7491  8 Cd 3.11-3.29
Er 0.5000 0.5000 0.5000  8 Cd 3.21
Cd 0.1214 0.1214 0.1214  1 Li 3.08, 4 Dy 3.15-3.29, 3 Er 3.21
Cd 0.3735 0.3735 0.3735  4 Dy 3.11-3.18, 3 Li 3.16, 1 Er 3.21
Cd 0.6265 0.6265 0.6265  4 Dy 3.11-3.18, 3 Li 3.16, 1 Er 3.21
Cd 0.8786 0.8786 0.8786  1 Li 3.08, 4 Dy 3.15-3.29, 3 Er 3.21

Summary:
The energy of formation from the pure elements comes out at -0.284 eV per atom. As for the total energy: -21.615 eV per cell. The value obtained for the density of states at the Fermi level is 0.94 states/eV per atom.

***

Here is a relaxed structure of DyErLuCd from Alexandria. Energies are from GGA-PBE.

Cell lengths 5.3892, 5.3892, 5.3892 Å; angles 60.00, 60.00, 60.00 degrees
Last column: nearest neighbours and their distance in Å.
Element x y z (fractional)
Dy 0.0000 0.0000 0.0000  4 Cd 3.30, 4 Lu 3.30
Er 0.5000 0.5000 0.5000  4 Cd 3.30, 4 Lu 3.30
Lu 0.2500 0.2500 0.2500  4 Dy 3.30, 4 Er 3.30
Cd 0.7500 0.7500 0.7500  4 Dy 3.30, 4 Er 3.30

Summary:
The energy of formation from the pure elements comes out at -0.030 eV per atom. As for the total energy: -14.723 eV per cell. The value obtained for the density of states at the Fermi level is 1.15 states/eV per atom.